Material: MnNiSbTe2
Method: DFT, PBE
State: relaxed

## Properties
- Energy relative to the elements, uncorrected: 0.5014 eV/atom
- Crystal system: tetragonal

abc: 5.2373 5.2373 4.7471
angles: 90.00 90.00 90.00
Last column: nearest neighbours and their distance in Å.
Fractional positions:
Mn 0.0000 0.0000 0.0000  8 Te 3.53, 4 Sb 3.70
Ni 0.5000 0.5000 0.5000  2 Sb 2.37, 4 Te 2.62
Sb 0.5000 0.5000 0.0000  2 Ni 2.37
Te 0.0000 0.5000 0.5000  2 Ni 2.62
Te 0.5000 0.0000 0.5000  2 Ni 2.62

---

Material: ScTcSCl2
Method: DFT, PBE
State: relaxed

## Properties
- Energy relative to the elements, uncorrected: -0.3278 eV/atom
- Crystal system: tetragonal

abc: 4.9278 4.9278 5.0096
angles: 90.00 90.00 90.00
Last column: nearest neighbours and their distance in Å.
Fractional positions:
Sc 0.0000 0.0000 0.0000  4 Cl 2.46, 2 S 2.50
Tc 0.5000 0.5000 0.5000  4 S 3.48, 8 Cl 3.51
S 0.0000 0.0000 0.5000  2 Sc 2.50
Cl 0.0000 0.5000 0.0000  2 Sc 2.46
Cl 0.5000 0.0000 0.0000  2 Sc 2.46

---

Material: Er2ScHg2
Method: DFT, PBE
State: relaxed

## Properties
- Crystal system: monoclinic

abc: 3.6815 5.1199 13.3483
angles: 90.00 97.98 90.00
Last column: nearest neighbours and their distance in Å.
Fractional positions:
Er 0.0465 0.2500 0.0947  8 Hg 3.16-3.21
Er 0.2364 0.2500 0.4731  2 Hg 3.05, 4 Er 3.23
Er 0.7636 0.7500 0.5269  2 Hg 3.05, 4 Er 3.23
Er 0.9535 0.7500 0.9053  8 Hg 3.16-3.21
Sc 0.1480 0.7500 0.2964  6 Hg 3.14-3.15, 2 Er 3.47
Sc 0.8520 0.2500 0.7036  6 Hg 3.14-3.15, 2 Er 3.47
Hg 0.3559 0.7500 0.7111  4 Er 3.05-3.16, 4 Sc 3.15
Hg 0.4488 0.2500 0.8959  2 Sc 3.14, 6 Er 3.16-3.21
Hg 0.5512 0.7500 0.1041  2 Sc 3.14, 6 Er 3.16-3.21
Hg 0.6441 0.2500 0.2889  4 Er 3.05-3.16, 4 Sc 3.15

---

The records above yield spin magnetization values of 4.522 4.537 0.000 μB/f.u., respectively.
The records above yield uncorrected energy values of -4.570 -5.231 -3.560 eV per atom, respectively.